[1]
A relaxed CsNaPa crystal, computed with PBE.

The calculation puts the energy above the most stable polymorph in this dataset at 0.000 eV/atom.

The space group is F-43m (No. 216) and the conventional cell measures 8.7195, 8.7195 and 8.7195 Å, with angles of 90.00, 90.00 and 90.00 degrees. The asymmetric unit holds Cs at (0.0000, 0.0000, 0.0000), Na at (0.2500, 0.2500, 0.2500) and Pa at (0.0000, 0.0000, 0.5000).

***

[2]
A relaxed ReHgAsO crystal, computed with PBE.

The calculation puts the energy above the most stable polymorph in this dataset at 0.000 eV/atom.

The space group is Pmc2_1 (No. 26) and the conventional cell measures 3.0943, 7.0114 and 7.3741 Å, with angles of 90.00, 90.00 and 90.00 degrees. The asymmetric unit holds Re at (0.0000, 0.0430, 0.0000), Hg at (0.5000, 0.3170, 0.5554), As at (0.5000, 0.3069, 0.9462) and O at (0.0000, 0.0361, 0.2570).

***

[3]
A relaxed Mg2PdAu crystal, computed with PBE.

As for the total energy: -28.50 eV per cell.

The space group is Cmmm (No. 65) and the conventional cell measures 6.2588, 6.5310 and 3.3101 Å, with angles of 90.00, 90.00 and 90.00 degrees. The asymmetric unit holds Mg at (0.2500, 0.2500, 0.0000), Pd at (0.0000, 0.0000, 0.5000) and Au at (0.0000, 0.5000, 0.5000).